Below is crystalline RbPmIn2I6 at its relaxed geometry, with properties calculated at the PBE-GGA level.

Summary:
The value obtained for the uncorrected formation energy is -1.049 eV/atom. For the density of states at the Fermi level, the calculation gives 0.0 states/eV per cell. The space group is R3, No. 146.

The structure in POSCAR format:
```
RbPmIn2I6
1.0
4.351 2.512 7.685
-4.351 2.512 7.685
0.000 -5.024 7.685
Rb Pm In I
1 1 2 6
direct
0.000 0.000 0.000 Rb
0.489 0.489 0.489 Pm
0.297 0.297 0.297 In
0.807 0.807 0.807 In
0.112 0.673 0.424 I
0.249 0.584 0.850 I
0.424 0.112 0.673 I
0.584 0.850 0.249 I
0.673 0.424 0.112 I
0.850 0.249 0.584 I
```



Below is crystalline Rb2PmInI6 at its relaxed geometry, with properties calculated at the PBE-GGA level.

Summary:
The value obtained for the uncorrected formation energy is -1.262 eV/atom. For the density of states at the Fermi level, the calculation gives 0.0 states/eV per cell. The space group is R3, No. 146.

The structure in POSCAR format:
```
Rb2PmInI6
1.0
4.455 2.572 7.482
-4.455 2.572 7.482
0.000 -5.144 7.482
Rb Pm In I
2 1 1 6
direct
0.000 0.000 0.000 Rb
0.492 0.492 0.492 Rb
0.705 0.705 0.705 Pm
0.211 0.211 0.211 In
0.037 0.464 0.844 I
0.368 0.923 0.572 I
0.464 0.844 0.037 I
0.572 0.368 0.923 I
0.844 0.037 0.464 I
0.923 0.572 0.368 I
```



Below is crystalline Pm6InSi2I3 at its relaxed geometry, with properties calculated at the PBE-GGA level.

Summary:
The value obtained for the uncorrected formation energy is -0.830 eV/atom. For the density of states at the Fermi level, the calculation gives 6.1 states/eV per cell. The space group is C2/m, No. 12.

The structure in POSCAR format:
```
Pm6InSi2I3
1.0
9.901 -2.144 0.000
9.901 2.144 0.000
-2.538 0.000 8.935
Pm In Si I
6 1 2 3
direct
0.016 0.016 0.248 Pm
0.321 0.321 0.441 Pm
0.337 0.337 0.871 Pm
0.663 0.663 0.129 Pm
0.679 0.679 0.559 Pm
0.984 0.984 0.752 Pm
0.500 0.500 0.000 In
0.168 0.168 0.341 Si
0.832 0.832 0.659 Si
0.166 0.166 0.835 I
0.500 0.500 0.500 I
0.834 0.834 0.165 I
```



Below is crystalline PmInSnI6 at its relaxed geometry, with properties calculated at the PBE-GGA level.

Summary:
The value obtained for the uncorrected formation energy is -0.898 eV/atom. For the density of states at the Fermi level, the calculation gives 0.0 states/eV per cell. The space group is P-31c, No. 163.

The structure in POSCAR format:
```
PmInSnI6
1.0
8.078 0.000 0.000
-4.039 6.996 0.000
0.000 0.000 15.160
Pm In Sn I
2 2 2 12
direct
0.333 0.667 0.250 Pm
0.667 0.333 0.750 Pm
0.000 0.000 0.000 In
0.000 0.000 0.500 In
0.333 0.667 0.750 Sn
0.667 0.333 0.250 Sn
0.008 0.363 0.131 I
0.008 0.645 0.369 I
0.355 0.363 0.369 I
0.355 0.992 0.131 I
0.363 0.008 0.631 I
0.363 0.355 0.869 I
0.637 0.645 0.131 I
0.637 0.992 0.369 I
0.645 0.008 0.869 I
0.645 0.637 0.631 I
0.992 0.355 0.631 I
0.992 0.637 0.869 I
```



Below is crystalline SrPmInI6 at its relaxed geometry, with properties calculated at the PBE-GGA level.

Summary:
The value obtained for the uncorrected formation energy is -1.293 eV/atom. For the density of states at the Fermi level, the calculation gives 0.0 states/eV per cell. The space group is P-31c, No. 163.

The structure in POSCAR format:
```
SrPmInI6
1.0
8.228 0.000 0.000
-4.114 7.126 0.000
0.000 0.000 15.086
Sr Pm In I
2 2 2 12
direct
0.333 0.667 0.250 Sr
0.667 0.333 0.750 Sr
0.333 0.667 0.750 Pm
0.667 0.333 0.250 Pm
0.000 0.000 0.000 In
0.000 0.000 0.500 In
0.017 0.367 0.630 I
0.017 0.650 0.870 I
0.350 0.367 0.870 I
0.350 0.983 0.630 I
0.367 0.017 0.130 I
0.367 0.350 0.370 I
0.633 0.650 0.630 I
0.633 0.983 0.870 I
0.650 0.017 0.370 I
0.650 0.633 0.130 I
0.983 0.350 0.130 I
0.983 0.633 0.370 I
```



Below is crystalline PmTl3In3I8 at its relaxed geometry, with properties calculated at the PBE-GGA level.

Summary:
The value obtained for the uncorrected formation energy is -0.677 eV/atom. For the density of states at the Fermi level, the calculation gives 5.9 states/eV per cell. The space group is C2/m, No. 12.

The structure in POSCAR format:
```
PmTl3In3I8
1.0
8.302 -4.956 0.000
8.302 4.956 0.000
-5.311 0.000 8.519
Pm Tl In I
1 3 3 8
direct
0.000 0.000 0.000 Pm
0.000 0.000 0.500 Tl
0.000 0.500 0.000 Tl
0.500 0.000 0.000 Tl
0.000 0.500 0.500 In
0.500 0.000 0.500 In
0.500 0.500 0.000 In
0.222 0.222 0.226 I
0.223 0.774 0.777 I
0.226 0.777 0.223 I
0.251 0.251 0.747 I
0.749 0.749 0.253 I
0.774 0.223 0.777 I
0.777 0.226 0.223 I
0.778 0.778 0.774 I
```



Below is crystalline PmTlIn2I6 at its relaxed geometry, with properties calculated at the PBE-GGA level.

Summary:
The value obtained for the uncorrected formation energy is -0.877 eV/atom. For the density of states at the Fermi level, the calculation gives 0.0 states/eV per cell. The space group is R3, No. 146.

The structure in POSCAR format:
```
PmTlIn2I6
1.0
4.308 2.487 7.560
-4.308 2.487 7.560
0.000 -4.975 7.560
Pm Tl In I
1 1 2 6
direct
0.000 0.000 0.000 Pm
0.492 0.492 0.492 Tl
0.195 0.195 0.195 In
0.686 0.686 0.686 In
0.092 0.800 0.369 I
0.247 0.643 0.891 I
0.369 0.092 0.800 I
0.643 0.891 0.247 I
0.800 0.369 0.092 I
0.891 0.247 0.643 I
```



Below is crystalline PmTl2InI6 at its relaxed geometry, with properties calculated at the PBE-GGA level.

Summary:
The value obtained for the uncorrected formation energy is -0.919 eV/atom. For the density of states at the Fermi level, the calculation gives 0.0 states/eV per cell. The space group is R3, No. 146.

The structure in POSCAR format:
```
PmTl2InI6
1.0
4.323 2.496 7.540
-4.323 2.496 7.540
0.000 -4.992 7.540
Pm Tl In I
1 2 1 6
direct
0.000 0.000 0.000 Pm
0.311 0.311 0.311 Tl
0.802 0.802 0.802 Tl
0.507 0.507 0.507 In
0.118 0.352 0.754 I
0.209 0.896 0.638 I
0.352 0.754 0.118 I
0.638 0.209 0.896 I
0.754 0.118 0.352 I
0.896 0.638 0.209 I
```